Compound: Ca3Np3CuSe8
Source: Alexandria via LeMat-Bulk
Functional: PBE
Structure: relaxed

M_tot in μB per cell: 12.00
Space-group type: No. 166
Formation energy (no corrections) in meV/atom: -1270.4
DOS at the Fermi energy in states/eV per atom: 2.239

Lattice parameters (Å, degrees): 8.3330 8.3330 8.3330 58.64 58.64 58.64
Element x y z (fractional)
Ca1 0.0000 0.5000 0.5000
Ca2 0.5000 0.0000 0.5000
Ca3 0.5000 0.5000 0.0000
Np1 0.0000 0.0000 0.5000
Np2 0.0000 0.5000 0.0000
Np3 0.5000 0.0000 0.0000
Cu1 0.5000 0.5000 0.5000
Se1 0.2497 0.2497 0.2497
Se2 0.2521 0.7408 0.7408
Se3 0.2592 0.2592 0.7479
Se4 0.2592 0.7479 0.2592
Se5 0.7408 0.2521 0.7408
Se6 0.7408 0.7408 0.2521
Se7 0.7479 0.2592 0.2592
Se8 0.7503 0.7503 0.7503

=====

Compound: Sr2MgBr
Source: Alexandria via LeMat-Bulk
Functional: PBE
Structure: relaxed

M_tot in μB per cell: 0.00
Offset from the most stable computed form in eV/f.u.: 0.197
Space-group type: No. 123
Formation energy (no corrections) in meV/atom: -673.0
DOS at the Fermi energy in states/eV per atom: 0.531

Lattice parameters (Å, degrees): 3.9370 3.9370 9.1664 90.00 90.00 90.00
Element x y z (fractional)
Sr1 0.0000 0.0000 0.2462
Sr2 0.0000 0.0000 0.7538
Mg1 0.5000 0.5000 0.0000
Br1 0.5000 0.5000 0.5000

=====

Compound: Ac4TbNd2
Source: Alexandria via LeMat-Bulk
Functional: PBE
Structure: relaxed

M_tot in μB per cell: 0.00
Space-group type: No. 65
Formation enthalpy at 0 K in eV per atom: 0.221
DOS at the Fermi energy in states/eV per atom: 1.727

Lattice parameters (Å, degrees): 12.6904 12.6904 3.7465 90.00 90.00 151.44
Element x y z (fractional)
Ac1 0.0781 0.9219 0.0000
Ac2 0.3639 0.6361 0.5000
Ac3 0.6361 0.3639 0.5000
Ac4 0.9219 0.0781 0.0000
Tb1 0.5000 0.5000 0.0000
Nd1 0.2144 0.7856 0.5000
Nd2 0.7856 0.2144 0.5000

=====

Compound: ScTaZn2Tc
Source: Alexandria via LeMat-Bulk
Functional: PBE
Structure: relaxed

M_tot in μB per cell: 2.98
Space-group type: No. 123
Formation enthalpy at 0 K in eV per atom: 1.780
DOS at the Fermi energy in states/eV per atom: 0.858

Lattice parameters (Å, degrees): 4.7998 4.7998 4.7202 90.00 90.00 90.00
Element x y z (fractional)
Sc1 0.0000 0.0000 0.0000
Ta1 0.0000 0.0000 0.5000
Zn1 0.0000 0.5000 0.0000
Zn2 0.5000 0.0000 0.0000
Tc1 0.5000 0.5000 0.5000

=====

Compound: Tb2HgIr
Source: Alexandria via LeMat-Bulk
Functional: PBE
Structure: relaxed

M_tot in μB per cell: 0.00
Offset from the most stable computed form in eV/f.u.: 0.000
Space-group type: No. 123
Formation enthalpy at 0 K in eV per atom: -0.678
DOS at the Fermi energy in states/eV per atom: 0.390

Lattice parameters (Å, degrees): 3.5242 3.5242 7.5128 90.00 90.00 90.00
Element x y z (fractional)
Tb1 0.0000 0.0000 0.2189
Tb2 0.0000 0.0000 0.7811
Hg1 0.5000 0.5000 0.5000
Ir1 0.5000 0.5000 0.0000

=====

Compound: Hf2Mo3W
Source: Alexandria via LeMat-Bulk
Functional: PBE
Structure: relaxed

M_tot in μB per cell: 0.00
Offset from the most stable computed form in eV/f.u.: 2.453
Space-group type: No. 63
Formation enthalpy at 0 K in eV per atom: 0.233
DOS at the Fermi energy in states/eV per atom: 0.734

Lattice parameters (Å, degrees): 6.5276 6.5276 5.1593 90.00 90.00 97.50
Element x y z (fractional)
Hf1 0.0607 0.6151 0.7500
Hf2 0.3849 0.9393 0.7500
Hf3 0.6151 0.0607 0.2500
Hf4 0.9393 0.3849 0.2500
Mo1 0.3125 0.3125 0.0000
Mo2 0.3125 0.3125 0.5000
Mo3 0.3279 0.6721 0.2500
Mo4 0.6721 0.3279 0.7500
Mo5 0.6875 0.6875 0.0000
Mo6 0.6875 0.6875 0.5000
W1 0.0656 0.9344 0.2500
W2 0.9344 0.0656 0.7500

=====

Compound: CsErCu2Cl6
Source: Alexandria via LeMat-Bulk
Functional: PBE
Structure: relaxed

M_tot in μB per cell: 0.21
Space-group type: No. 15
Formation energy (no corrections) in meV/atom: -1435.1
DOS at the Fermi energy in states/eV per atom: 0.000

Lattice parameters (Å, degrees): 8.5716 8.5716 8.5119 99.99 99.99 107.50
Element x y z (fractional)
Cs1 0.1453 0.8547 0.7500
Cs2 0.8547 0.1453 0.2500
Er1 0.4473 0.5527 0.2500
Er2 0.5527 0.4473 0.7500
Cu1 0.0680 0.3596 0.7217
Cu2 0.3596 0.0680 0.2217
Cu3 0.6404 0.9320 0.7783
Cu4 0.9320 0.6404 0.2783
Cl1 0.1125 0.5304 0.2171
Cl2 0.2131 0.2321 0.6048
Cl3 0.2321 0.2131 0.1048
Cl4 0.3576 0.5734 0.9315
Cl5 0.4266 0.6424 0.5685
Cl6 0.4696 0.8875 0.2829
Cl7 0.5304 0.1125 0.7171
Cl8 0.5734 0.3576 0.4315
Cl9 0.6424 0.4266 0.0685
Cl10 0.7679 0.7869 0.8952
Cl11 0.7869 0.7679 0.3952
Cl12 0.8875 0.4696 0.7829

=====

Compound: LiCuNiH
Source: Alexandria via LeMat-Bulk
Functional: PBE
Structure: relaxed

Final energy in eV/atom: -3.872
M_tot in μB per cell: 0.00
Space-group type: No. 38
DOS at the Fermi energy in states/eV per atom: 0.326

Lattice parameters (Å, degrees): 2.5094 4.3984 4.3984 52.44 90.00 90.00
Element x y z (fractional)
Li1 0.0000 0.0000 0.0000
Cu1 0.5000 0.6812 0.6812
Ni1 0.0000 0.3126 0.3126
H1 0.5000 0.4490 0.4490

=====

Compound: CsVFe3
Source: Alexandria via LeMat-Bulk
Functional: PBE
Structure: relaxed

M_tot in μB per cell: 10.36
Offset from the most stable computed form in eV/f.u.: 7.004
Space-group type: No. 221
Formation enthalpy at 0 K in eV per atom: 2.783
DOS at the Fermi energy in states/eV per atom: 1.663

Lattice parameters (Å, degrees): 4.7645 4.7645 4.7645 90.00 90.00 90.00
Element x y z (fractional)
Cs1 0.0000 0.0000 0.0000
V1 0.5000 0.5000 0.5000
Fe1 0.0000 0.0000 0.5000
Fe2 0.0000 0.5000 0.0000
Fe3 0.5000 0.0000 0.0000

=====

Compound: NbTl3Sb
Source: Alexandria via LeMat-Bulk
Functional: PBE
Structure: relaxed

M_tot in μB per cell: 0.00
Offset from the most stable computed form in eV/f.u.: 0.000
Space-group type: No. 221
Formation energy (no corrections) in meV/atom: 789.2
DOS at the Fermi energy in states/eV per atom: 1.181

Lattice parameters (Å, degrees): 5.5245 5.5245 5.5245 90.00 90.00 90.00
Element x y z (fractional)
Nb1 0.0000 0.0000 0.0000
Tl1 0.0000 0.0000 0.5000
Tl2 0.0000 0.5000 0.0000
Tl3 0.5000 0.0000 0.0000
Sb1 0.5000 0.5000 0.5000

=====

Compound: LiAc2PuSe4
Source: Alexandria via LeMat-Bulk
Functional: PBE
Structure: relaxed

M_tot in μB per cell: 5.98
Space-group type: No. 10
Formation energy (no corrections) in meV/atom: -1663.5
DOS at the Fermi energy in states/eV per atom: 1.801

Lattice parameters (Å, degrees): 7.3573 4.3446 7.5380 90.00 110.18 90.00
Element x y z (fractional)
Li1 0.0000 0.0000 0.0000
Ac1 0.5000 0.0000 0.5000
Ac2 0.5000 0.5000 0.0000
Pu1 0.0000 0.5000 0.5000
Se1 0.2276 0.0000 0.7451
Se2 0.2280 0.5000 0.2391
Se3 0.7724 0.0000 0.2549
Se4 0.7720 0.5000 0.7609

=====

Compound: ScBe3S
Source: Alexandria via LeMat-Bulk
Functional: PBE
Structure: relaxed

M_tot in μB per cell: 0.78
Offset from the most stable computed form in eV/f.u.: 7.043
Space-group type: No. 221
Formation energy (no corrections) in meV/atom: 1927.5
DOS at the Fermi energy in states/eV per atom: 0.536

Lattice parameters (Å, degrees): 4.8757 4.8757 4.8757 90.00 90.00 90.00
Element x y z (fractional)
Sc1 0.0000 0.0000 0.0000
Be1 0.0000 0.0000 0.5000
Be2 0.0000 0.5000 0.0000
Be3 0.5000 0.0000 0.0000
S1 0.5000 0.5000 0.5000